Ca3Pa2RuN6: optimized geometry, PBE-GGA.

a = 5.8899 Å, b = 5.8899 Å, c = 5.9978 Å
α = 99.17°, β = 99.17°, γ = 120.01°
Last column: nearest neighbours and their distance in Å.
Atoms (fractional coordinates):
Ca  0.0000  0.0000  0.0000  6 N 2.48-2.54
Ca  0.3415  0.6585  0.0000  6 N 2.48-2.56
Ca  0.6585  0.3415  0.0000  6 N 2.48-2.56
Pa  0.1673  0.8327  0.5000  6 N 2.31-2.33
Pa  0.8327  0.1673  0.5000  6 N 2.31-2.33
Ru  0.5000  0.5000  0.5000  6 N 2.36-2.37
N  0.0873  0.4265  0.2786  2 Pa 2.31-2.32, 1 Ru 2.37, 3 Ca 2.53-2.56
N  0.2341  0.2341  0.7226  2 Pa 2.33, 1 Ru 2.36, 3 Ca 2.48
N  0.4265  0.0873  0.2786  2 Pa 2.31-2.32, 1 Ru 2.37, 3 Ca 2.53-2.56
N  0.5735  0.9127  0.7214  2 Pa 2.31-2.32, 1 Ru 2.37, 3 Ca 2.53-2.56
N  0.7659  0.7659  0.2774  2 Pa 2.33, 1 Ru 2.36, 3 Ca 2.48
N  0.9127  0.5735  0.7214  2 Pa 2.31-2.32, 1 Ru 2.37, 3 Ca 2.53-2.56

Summary:
For the volume, the calculation gives 170.8 Å³/cell. The formation energy (no corrections) comes out at -1177 meV per atom. For the mass density, the calculation gives 7.46 Mg/m³.